Computed, not measured: crystalline Co3HgI at its relaxed geometry at the GGA-PBE level of DFT.

Results
Uncorrected formation energy = 1.294 eV per atom
Excess energy over the best structure of this formula in the dataset = 0 meV per atom

a = 4.6853 Å, b = 4.6853 Å, c = 4.6853 Å
α = 90.00°, β = 90.00°, γ = 90.00°
With the nearest neighbours (Å) after each atom.
Space group Pm-3m (No. 221)
Symmetry-distinct sites (fractional):
1 Co 0.0000 0.0000 0.5000 x3  2 I 2.34
2 Hg 0.5000 0.5000 0.5000 x1  12 Co 3.31
3 I 0.0000 0.0000 0.0000 x1  6 Co 2.34